# Sr2AcBr PBE optimized geometry
# - crystal system = tetragonal
# - energy above the most stable polymorph in this dataset (eV/atom) = 0.0950
# - spin magnetization (μB/cell) = 0.00
data_Sr2AcBr
_cell_length_a 3.9305
_cell_length_b 3.9305
_cell_length_c 10.7464
_cell_angle_alpha 90.00
_cell_angle_beta 90.00
_cell_angle_gamma 90.00
_space_group_name_H-M_alt 'P 4/m m m'
_space_group_IT_number 123
_space_group_name_Hall '-P 4 2'
loop_
_atom_site_label
_atom_site_fract_x
_atom_site_fract_y
_atom_site_fract_z
Sr1 0.0000 0.0000 0.2159
Ac1 0.5000 0.5000 0.5000
Br1 0.5000 0.5000 0.0000

---

# Dy2ErMgC PBE optimized geometry
# - crystal system = tetragonal
# - formation energy from the elements (meV per atom) = -192
# - spin magnetization (μB/cell) = 0.45
data_Dy2ErMgC
_cell_length_a 4.9959
_cell_length_b 4.9959
_cell_length_c 4.8867
_cell_angle_alpha 90.00
_cell_angle_beta 90.00
_cell_angle_gamma 90.00
_space_group_name_H-M_alt 'P 4/m m m'
_space_group_IT_number 123
_space_group_name_Hall '-P 4 2'
loop_
_atom_site_label
_atom_site_fract_x
_atom_site_fract_y
_atom_site_fract_z
Dy1 0.0000 0.5000 0.0000
Er1 0.0000 0.0000 0.5000
Mg1 0.5000 0.5000 0.5000
C1 0.0000 0.0000 0.0000

---

# CoRu2Au PBE optimized geometry
# - crystal system = monoclinic
# - energy above the most stable polymorph in this dataset (eV/atom) = 0.0964
# - formation energy from the elements (meV per atom) = 345
# - spin magnetization (μB/cell) = 4.52
data_CoRu2Au
_cell_length_a 9.0712
_cell_length_b 2.7306
_cell_length_c 4.7045
_cell_angle_alpha 90.00
_cell_angle_beta 101.45
_cell_angle_gamma 90.00
_space_group_name_H-M_alt 'C 1 2/m 1'
_space_group_IT_number 12
loop_
_space_group_symop_operation_xyz
'x,y,z'
'-x,-y,-z'
'-x,y,-z'
'x,-y,z'
'x+1/2,y+1/2,z'
'-x+1/2,-y+1/2,-z'
'-x+1/2,y+1/2,-z'
'x+1/2,-y+1/2,z'
loop_
_atom_site_label
_atom_site_fract_x
_atom_site_fract_y
_atom_site_fract_z
Co1 0.0000 0.0000 0.0000
Ru1 0.2375 0.5000 0.2262
Au1 0.0000 0.5000 0.5000

---

# Cd4PSe2 PBE optimized geometry
# - crystal system = tetragonal
# - spin magnetization (μB/cell) = 0.00
data_Cd4PSe2
_cell_length_a 5.1813
_cell_length_b 5.1813
_cell_length_c 13.8389
_cell_angle_alpha 90.00
_cell_angle_beta 90.00
_cell_angle_gamma 90.00
_space_group_name_H-M_alt 'I 4/m m m'
_space_group_IT_number 139
_space_group_name_Hall '-I 4 2'
loop_
_atom_site_label
_atom_site_fract_x
_atom_site_fract_y
_atom_site_fract_z
Cd1 0.0000 0.0000 0.1865
Cd2 0.0000 0.5000 0.0000
P1 0.0000 0.0000 0.0000
Se1 0.0000 0.0000 0.3715

---

# PmAgGe2Pd5 PBE optimized geometry
# - crystal system = tetragonal
# - formation energy from the elements (meV per atom) = -495
# - spin magnetization (μB/cell) = 0.00
data_PmAgGe2Pd5
_cell_length_a 4.1770
_cell_length_b 4.1770
_cell_length_c 9.3047
_cell_angle_alpha 90.00
_cell_angle_beta 90.00
_cell_angle_gamma 90.00
_space_group_name_H-M_alt 'P 4/m m m'
_space_group_IT_number 123
_space_group_name_Hall '-P 4 2'
loop_
_atom_site_label
_atom_site_fract_x
_atom_site_fract_y
_atom_site_fract_z
Pm1 0.0000 0.0000 0.0000
Ag1 0.0000 0.0000 0.5000
Ge1 0.5000 0.5000 0.3703
Pd1 0.0000 0.5000 0.2310
Pd2 0.5000 0.5000 0.0000

---

# Cs2InSe PBE optimized geometry
# - crystal system = orthorhombic
# - energy above the most stable polymorph in this dataset (eV/atom) = 0.0662
# - spin magnetization (μB/cell) = 0.00
data_Cs2InSe
_cell_length_a 9.7721
_cell_length_b 5.0704
_cell_length_c 8.6078
_cell_angle_alpha 90.00
_cell_angle_beta 90.00
_cell_angle_gamma 90.00
_space_group_name_H-M_alt 'A m m 2'
_space_group_IT_number 38
loop_
_space_group_symop_operation_xyz
'x,y,z'
'-x,-y,z'
'-x,y,z'
'x,-y,z'
'x,y+1/2,z+1/2'
'-x,-y+1/2,z+1/2'
'-x,y+1/2,z+1/2'
'x,-y+1/2,z+1/2'
loop_
_atom_site_label
_atom_site_fract_x
_atom_site_fract_y
_atom_site_fract_z
Cs1 0.1946 0.0000 0.0000
In1 0.5000 0.0000 0.6614
Se1 0.0000 0.0000 0.6636

---

# LaNi4Ge PBE optimized geometry
# - crystal system = orthorhombic
# - energy above the most stable polymorph in this dataset (eV/atom) = 0.0000
# - formation energy from the elements (meV per atom) = -275
# - spin magnetization (μB/cell) = 0.00
data_LaNi4Ge
_cell_length_a 3.8499
_cell_length_b 14.8742
_cell_length_c 6.3641
_cell_angle_alpha 90.00
_cell_angle_beta 90.00
_cell_angle_gamma 90.00
_space_group_name_H-M_alt 'C m c m'
_space_group_IT_number 63
_space_group_name_Hall '-C 2c 2'
loop_
_atom_site_label
_atom_site_fract_x
_atom_site_fract_y
_atom_site_fract_z
La1 0.0000 0.1007 0.2500
Ni1 0.0000 0.0813 0.7500
Ni2 0.0000 0.3245 0.0610
Ni3 0.0000 0.5000 0.0000
Ge1 0.0000 0.2371 0.7500

---

# Ba2Na5Li5 PBE optimized geometry
# - crystal system = orthorhombic
# - energy above the most stable polymorph in this dataset (eV/atom) = 0.0000
# - formation energy from the elements (meV per atom) = 44
# - spin magnetization (μB/cell) = 0.00
data_Ba2Na5Li5
_cell_length_a 5.1495
_cell_length_b 7.0127
_cell_length_c 11.7167
_cell_angle_alpha 90.00
_cell_angle_beta 90.00
_cell_angle_gamma 90.00
_space_group_name_H-M_alt 'P m m m'
_space_group_IT_number 47
loop_
_space_group_symop_operation_xyz
'x,y,z'
'-x,-y,-z'
'-x,-y,z'
'x,y,-z'
'x,-y,-z'
'-x,y,z'
'-x,y,-z'
'x,-y,z'
loop_
_atom_site_label
_atom_site_fract_x
_atom_site_fract_y
_atom_site_fract_z
Ba1 0.0000 0.0000 0.0000
Ba2 0.0000 0.5000 0.5000
Na1 0.5000 0.0000 0.5000
Na2 0.5000 0.2528 0.2420
Li1 0.0000 0.0000 0.3369
Li2 0.0000 0.5000 0.1459
Li3 0.5000 0.5000 0.0000

---

The calculation returns the following electronic total energy values, one per record and in order: -11.70; -25.54; -55.11; -33.46; -47.26; -18.45; -137.27; -19.49 eV for the cell shown.